[1]
A PBEsol-optimized structure of Tb2MnGa6, computed with SCAN.

a b c (Å): 6.084 6.084 6.084
angles (deg): 60.00 60.00 60.00
Positions (direct):
Tb 0.250 0.250 0.250
Tb 0.750 0.750 0.750
Mn 0.000 0.000 0.000
Ga 0.280 0.280 0.720
Ga 0.280 0.720 0.280
Ga 0.280 0.720 0.720
Ga 0.720 0.280 0.280
Ga 0.720 0.280 0.720
Ga 0.720 0.720 0.280

The space group is Fm-3m. The total energy is -23.979 eV per atom.

[2]
A PBEsol-optimized structure of MnGa2TcW, computed with SCAN.

a b c (Å): 4.592 4.592 4.340
angles (deg): 90.00 90.00 90.00
Positions (direct):
Mn 0.000 0.000 0.000
Ga 0.000 0.500 0.500
Ga 0.500 0.000 0.500
Tc 0.000 0.000 0.500
W 0.500 0.500 0.000

The space group is P4/mmm. The total energy is -29.744 eV per atom.

[3]
A PBEsol-optimized structure of Mn2Tl2Ga, computed with SCAN.

a b c (Å): 5.069 5.069 5.621
angles (deg): 90.00 90.00 90.00
Positions (direct):
Mn 0.000 0.500 0.000
Mn 0.500 0.000 0.000
Tl 0.000 0.000 0.000
Tl 0.000 0.000 0.500
Ga 0.500 0.500 0.500

The space group is P4/mmm. The total energy is -38.744 eV per atom.

[4]
A PBEsol-optimized structure of Mn3TlGa, computed with SCAN.

a b c (Å): 4.557 4.557 4.557
angles (deg): 90.00 90.00 90.00
Positions (direct):
Mn 0.000 0.000 0.500
Mn 0.000 0.500 0.000
Mn 0.500 0.000 0.000
Tl 0.500 0.500 0.500
Ga 0.000 0.000 0.000

The space group is Pm-3m. The total energy is -28.344 eV per atom.

[5]
A PBEsol-optimized structure of YMnGa3, computed with SCAN.

a b c (Å): 5.274 5.274 5.274
angles (deg): 90.00 90.00 90.00
Positions (direct):
Y 0.000 0.000 0.000
Mn 0.500 0.500 0.500
Ga 0.000 0.000 0.500
Ga 0.000 0.500 0.000
Ga 0.500 0.000 0.000

The space group is Pm-3m. The total energy is -18.118 eV per atom.

[6]
A PBEsol-optimized structure of Zr3Mn2Ga6, computed with SCAN.

a b c (Å): 5.332 8.637 7.616
angles (deg): 90.00 90.00 90.00
Positions (direct):
Zr 0.250 0.030 0.154
Zr 0.250 0.470 0.154
Zr 0.250 0.750 0.721
Zr 0.750 0.250 0.279
Zr 0.750 0.530 0.846
Zr 0.750 0.970 0.846
Mn 0.000 0.000 0.500
Mn 0.000 0.500 0.500
Mn 0.500 0.000 0.500
Mn 0.500 0.500 0.500
Ga 0.009 0.750 0.044
Ga 0.250 0.064 0.762
Ga 0.250 0.250 0.439
Ga 0.250 0.436 0.762
Ga 0.250 0.750 0.369
Ga 0.491 0.750 0.044
Ga 0.509 0.250 0.956
Ga 0.750 0.250 0.631
Ga 0.750 0.564 0.238
Ga 0.750 0.750 0.561
Ga 0.750 0.936 0.238
Ga 0.991 0.250 0.956

The space group is Pmmn. The total energy is -21.208 eV per atom.

[7]
A PBEsol-optimized structure of ZrMnGa, computed with SCAN.

a b c (Å): 8.334 5.012 5.012
angles (deg): 60.51 90.00 90.00
Positions (direct):
Zr 0.176 0.000 0.000
Zr 0.308 0.336 0.336
Zr 0.692 0.336 0.336
Zr 0.824 0.000 0.000
Mn 0.000 0.045 0.489
Mn 0.000 0.489 0.045
Mn 0.000 0.497 0.497
Mn 0.500 0.834 0.834
Ga 0.235 0.676 0.676
Ga 0.500 0.324 0.837
Ga 0.500 0.837 0.324
Ga 0.765 0.676 0.676

The space group is Amm2. The total energy is -22.231 eV per atom.

[8]
A PBEsol-optimized structure of GaMoSeN2, computed with SCAN.

a b c (Å): 3.822 3.822 4.984
angles (deg): 90.00 90.00 90.00
Positions (direct):
Ga 0.000 0.000 0.000
Mo 0.500 0.500 0.500
Se 0.000 0.000 0.500
N 0.000 0.500 0.000
N 0.500 0.000 0.000

The space group is P4/mmm. For the raw formation energy, the calculation gives 6.138 eV per formula unit.

[9]
A PBEsol-optimized structure of GaTeMo2N, computed with SCAN.

a b c (Å): 4.931 4.931 5.205
angles (deg): 90.00 90.00 90.00
Positions (direct):
Ga 0.000 0.000 0.000
Te 0.000 0.000 0.500
Mo 0.000 0.500 0.500
Mo 0.500 0.000 0.500
N 0.500 0.500 0.000

The space group is P4/mmm. For the raw formation energy, the calculation gives 13.828 eV per formula unit.

[10]
A PBEsol-optimized structure of Na3GaMo, computed with SCAN.

a b c (Å): 5.754 5.754 5.754
angles (deg): 90.00 90.00 90.00
Positions (direct):
Na 0.000 0.000 0.500
Na 0.000 0.500 0.000
Na 0.500 0.000 0.000
Ga 0.500 0.500 0.500
Mo 0.000 0.000 0.000

The space group is Pm-3m. The total energy is -11.494 eV per atom.

[11]
A PBEsol-optimized structure of Nb2Ga2Mo, computed with SCAN.

a b c (Å): 7.798 7.798 7.798
angles (deg): 154.88 154.88 35.82
Positions (direct):
Nb 0.097 0.097 0.000
Nb 0.903 0.903 0.000
Ga 0.250 0.750 0.500
Ga 0.750 0.250 0.500
Mo 0.500 0.500 0.000

The space group is I4/mmm. As for the distance to the lowest polymorph of the same formula: 0.549 eV per atom.

[12]
A PBEsol-optimized structure of Nb2Ga2Mo, computed with SCAN.

a b c (Å): 6.729 6.729 3.512
angles (deg): 90.00 90.00 90.00
Positions (direct):
Nb 0.174 0.326 0.000
Nb 0.326 0.826 0.000
Nb 0.674 0.174 0.000
Nb 0.826 0.674 0.000
Ga 0.128 0.628 0.500
Ga 0.372 0.128 0.500
Ga 0.628 0.872 0.500
Ga 0.872 0.372 0.500
Mo 0.000 0.000 0.500
Mo 0.500 0.500 0.500

The space group is P4/mbm. As for the distance to the lowest polymorph of the same formula: 0.000 eV per atom.

[13]
A PBEsol-optimized structure of Ga2NiMo, computed with SCAN.

a b c (Å): 4.233 4.233 4.233
angles (deg): 60.00 60.00 60.00
Positions (direct):
Ga 0.250 0.250 0.250
Ga 0.750 0.750 0.750
Ni 0.000 0.000 0.000
Mo 0.500 0.500 0.500

The space group is Fm-3m. The total energy is -20.936 eV per atom.

[14]
A PBEsol-optimized structure of GaMoO3, computed with SCAN.

a b c (Å): 3.754 3.754 3.754
angles (deg): 90.00 90.00 90.00
Positions (direct):
Ga 0.000 0.000 0.000
Mo 0.500 0.500 0.500
O 0.000 0.000 0.500
O 0.000 0.500 0.000
O 0.500 0.000 0.000

The space group is Pm-3m. For the raw formation energy, the calculation gives -4.413 eV per formula unit.

[15]
A PBEsol-optimized structure of GaMoPO2, computed with SCAN.

a b c (Å): 3.617 3.617 5.274
angles (deg): 90.00 90.00 90.00
Positions (direct):
Ga 0.000 0.000 0.000
Mo 0.500 0.500 0.500
P 0.000 0.000 0.500
O 0.000 0.500 0.000
O 0.500 0.000 0.000

The space group is P4/mmm. For the raw formation energy, the calculation gives -0.877 eV per formula unit.

[16]
A PBEsol-optimized structure of GaMoP2, computed with SCAN.

a b c (Å): 6.539 6.539 6.539
angles (deg): 129.91 129.91 73.56
Positions (direct):
Ga 0.000 0.000 0.000
Ga 0.750 0.250 0.500
Mo 0.250 0.750 0.500
Mo 0.500 0.500 0.000
P 0.134 0.625 0.009
P 0.375 0.384 0.509
P 0.616 0.125 0.991
P 0.875 0.866 0.491

The space group is I-42d. The total energy is -17.984 eV per atom.

[17]
A PBEsol-optimized structure of Ga3MoPb, computed with SCAN.

a b c (Å): 5.238 5.238 5.238
angles (deg): 90.00 90.00 90.00
Positions (direct):
Ga 0.000 0.000 0.500
Ga 0.000 0.500 0.000
Ga 0.500 0.000 0.000
Mo 0.500 0.500 0.500
Pb 0.000 0.000 0.000

The space group is Pm-3m. The total energy is -30.497 eV per atom.

[18]
A PBEsol-optimized structure of RbGa2Mo, computed with SCAN.

a b c (Å): 4.972 4.972 4.972
angles (deg): 60.00 60.00 60.00
Positions (direct):
Rb 0.000 0.000 0.000
Ga 0.250 0.250 0.250
Ga 0.750 0.750 0.750
Mo 0.500 0.500 0.500

The space group is Fm-3m. The total energy is -21.148 eV per atom.

[19]
A PBEsol-optimized structure of RbGaSi2Mo, computed with SCAN.

a b c (Å): 4.764 4.764 5.634
angles (deg): 90.00 90.00 90.00
Positions (direct):
Rb 0.000 0.000 0.000
Ga 0.500 0.500 0.000
Si 0.000 0.500 0.500
Si 0.500 0.000 0.500
Mo 0.000 0.000 0.500

The space group is P4/mmm. For the raw formation energy, the calculation gives 4.640 eV per formula unit.

[20]
A PBEsol-optimized structure of GaRe2Mo, computed with SCAN.

a b c (Å): 4.355 4.355 4.355
angles (deg): 60.00 60.00 60.00
Positions (direct):
Ga 0.000 0.000 0.000
Re 0.250 0.250 0.250
Re 0.750 0.750 0.750
Mo 0.500 0.500 0.500

The space group is Fm-3m. The total energy is -48.299 eV per atom.

| no. | volume (Å³/cell) | size of the total moment (μB per formula unit) |
| --- | --- | --- |
| 1 | 159 | 2.49 |
| 2 | 92 | 5.33 |
| 3 | 144 | 8.56 |
| 4 | 95 | 11.39 |
| 5 | 147 | 4.35 |
| 6 | 351 | 4.53 |
| 7 | 182 | 0.50 |
| 8 | 73 | 0.96 |
| 9 | 127 | 4.09 |
| 10 | 191 | 5.08 |
| 11 | 85 | 0.00 |
| 12 | 159 | 0.00 |
| 13 | 54 | 0.00 |
| 14 | 53 | 3.00 |
| 15 | 69 | 1.92 |
| 16 | 161 | 1.33 |
| 17 | 144 | 4.53 |
| 18 | 87 | 3.64 |
| 19 | 128 | 0.00 |
| 20 | 58 | 0.00 |